# SbPPbI2

A relaxed SbPPbI2 crystal (GGA-PBE, Alexandria via LeMat-Bulk).

Output
Spin magnetization, μB/f.u.: 0.0
Electronic total energy, hartree per atom: -0.1091
D(E_F), states/eV per cell: 3.00
Excess energy over the best structure of this formula in the dataset, meV per atom: 0
SG: No. 123
Formation energy from raw total energies, eV per formula unit: 1.50

Unit cell a=5.3871 b=5.3871 c=5.5902 alpha=90.00 beta=90.00 gamma=90.00
Fractional positions:
Sb: 0.0000 0.0000 0.0000
P: 0.0000 0.0000 0.5000
Pb: 0.5000 0.5000 0.0000
I: 0.0000 0.5000 0.5000
I: 0.5000 0.0000 0.5000


# Hf2Ti4Nb

A relaxed Hf2Ti4Nb crystal (GGA-PBE, Alexandria via LeMat-Bulk).

Output
Spin magnetization, μB/f.u.: 0.3
E_form, eV per atom: 0.685
Electronic total energy, hartree per atom: -0.2980
D(E_F), states/eV per cell: 23.02
SG: No. 65

Unit cell a=5.4284 b=11.3234 c=4.7021 alpha=90.00 beta=90.00 gamma=90.00
Fractional positions:
Hf: 0.0000 0.1234 0.0000
Hf: 0.0000 0.8766 0.0000
Hf: 0.5000 0.3766 0.0000
Hf: 0.5000 0.6234 0.0000
Ti: 0.0000 0.2665 0.5000
Ti: 0.0000 0.3747 0.0000
Ti: 0.0000 0.6253 0.0000
Ti: 0.0000 0.7335 0.5000
Ti: 0.5000 0.1253 0.0000
Ti: 0.5000 0.2335 0.5000
Ti: 0.5000 0.7665 0.5000
Ti: 0.5000 0.8747 0.0000
Nb: 0.0000 0.5000 0.5000
Nb: 0.5000 0.0000 0.5000


- D(E_F) of number 1 (SbPPbI2)?
  3.00 states/eV per cell